# BAsH2 SCAN single point on PBEsol structure
data_BAsH2
_cell_length_a 3.3251
_cell_length_b 3.3251
_cell_length_c 10.9393
_cell_angle_alpha 90.00
_cell_angle_beta 90.00
_cell_angle_gamma 90.00
_symmetry_space_group_name_H-M 'I 41/a m d'
_symmetry_Int_Tables_number 141
loop_
_symmetry_equiv_pos_as_xyz
'x,y,z'
'-x,-y,-z'
'-y+1/4,x+3/4,z+1/4'
'y+1/4,-x+3/4,-z+1/4'
'-x+1/2,-y,z+1/2'
'x+1/2,y,-z+1/2'
'y+1/4,-x+1/4,z+3/4'
'-y+1/4,x+1/4,-z+3/4'
'x,-y,-z'
'-x,y,z'
'-y+1/4,-x+1/4,-z+3/4'
'y+1/4,x+1/4,z+3/4'
'-x+1/2,y,-z+1/2'
'x+1/2,-y,z+1/2'
'y+1/4,x+3/4,-z+1/4'
'-y+1/4,-x+3/4,z+1/4'
'x+1/2,y+1/2,z+1/2'
'-x+1/2,-y+1/2,-z+1/2'
'-y+3/4,x+1/4,z+3/4'
'y+3/4,-x+1/4,-z+3/4'
'-x,-y+1/2,z'
'x,y+1/2,-z'
'y+3/4,-x+3/4,z+1/4'
'-y+3/4,x+3/4,-z+1/4'
'x+1/2,-y+1/2,-z+1/2'
'-x+1/2,y+1/2,z+1/2'
'-y+3/4,-x+3/4,-z+1/4'
'y+3/4,x+3/4,z+1/4'
'-x,y+1/2,-z'
'x,-y+1/2,z'
'y+3/4,x+1/4,-z+3/4'
'-y+3/4,-x+1/4,z+3/4'
loop_
_atom_site_label
_atom_site_type_symbol
_atom_site_fract_x
_atom_site_fract_y
_atom_site_fract_z
_atom_site_occupancy
B1 B 0.0000 0.2500 0.3750 1
As1 As 0.0000 0.2500 0.8750 1
H1 H 0.0000 0.0000 0.5000 1
# calculated total energy = -30.6 eV/f.u.
# magnetic moment = 0.00 μB/cell